VASP calculation (PBE with a Hubbard U) on a relaxed K2UCo3O12 crystal.

Unit cell a=7.289 b=7.289 c=7.289 alpha=55.81 beta=55.81 gamma=55.81
Atoms (fractional coordinates):
1 K 0.392 0.392 0.392
2 O 0.682 0.083 0.682
3 O 0.318 0.318 0.917
4 O 0.658 0.071 0.071
5 O 0.342 0.929 0.929
6 O 0.083 0.682 0.682
7 Co 0.000 0.500 0.000
8 O 0.071 0.071 0.658
9 O 0.929 0.342 0.929
10 O 0.682 0.682 0.083
11 Co 0.500 0.000 0.000
12 Co 0.000 0.000 0.500
13 U 0.000 0.000 0.000
14 O 0.318 0.917 0.318
15 O 0.929 0.929 0.342
16 K 0.608 0.608 0.608
17 O 0.071 0.658 0.071
18 O 0.917 0.318 0.318

Calculated values
Space-group type ... No. 166
Electronic total energy ... -6.07 eV/atom